No. 1
First-principles (PBE) data for a relaxed structure of Rb2MnCu2, as listed in Alexandria via LeMat-Bulk.

Cell lengths 3.5160, 3.5160, 12.1423 Å; angles 81.68, 81.68, 90.00 degrees
Positions (direct):
1 Rb 0.3741 0.3741 0.2517
2 Rb 0.6259 0.6259 0.7483
3 Mn 0.0000 0.0000 0.0000
4 Cu 0.7500 0.2500 0.5000
5 Cu 0.2500 0.7500 0.5000

Values from the calculation:
Relative energy among the computed polymorphs in meV/atom: 0
Space group: No. 139
Size of the total moment in μB per cell: 4.33


No. 2
First-principles (PBE) data for a relaxed structure of Rb4MnCu2, as listed in Alexandria via LeMat-Bulk.

Cell lengths 6.5027, 6.5027, 9.4978 Å; angles 69.98, 69.98, 90.00 degrees
Positions (direct):
1 Rb 0.2231 0.2231 0.5539
2 Rb 0.7769 0.7769 0.4461
3 Rb 0.0000 0.5000 0.0000
4 Rb 0.5000 0.0000 0.0000
5 Mn 0.0000 0.0000 0.0000
6 Cu 0.5723 0.5723 0.8553
7 Cu 0.4277 0.4277 0.1447

Values from the calculation:
Space group: No. 139
Electronic total energy in eV/atom: -2.2604
Size of the total moment in μB per cell: 4.74


No. 3
First-principles (PBE) data for a relaxed structure of Rb2MnCu2S4, as listed in Alexandria via LeMat-Bulk.

Cell lengths 3.7666, 7.2640, 7.6331 Å; angles 108.06, 90.00, 105.03 degrees
Positions (direct):
1 S 0.5177 0.0355 0.7995
2 S 0.8145 0.6289 0.8385
3 S 0.1855 0.3711 0.1615
4 S 0.4823 0.9645 0.2005
5 Cu 0.3168 0.6337 0.0160
6 Cu 0.6832 0.3663 0.9840
7 Rb 0.1346 0.2691 0.5599
8 Rb 0.8654 0.7309 0.4401
9 Mn 0.0000 0.0000 0.0000

Values from the calculation:
Space group: No. 12
Size of the total moment in μB per cell: 3.16
Formation energy without anion corrections in meV per atom: -643


No. 4
First-principles (PBE) data for a relaxed structure of RbMnCu2S4, as listed in Alexandria via LeMat-Bulk.

Cell lengths 6.0212, 6.0212, 6.3745 Å; angles 118.21, 118.21, 89.99 degrees
Positions (direct):
1 S 0.5304 0.5304 0.6856
2 S 0.1552 0.1552 0.6856
3 S 0.4697 0.8448 0.3146
4 S 0.8448 0.4697 0.3146
5 Cu 0.7500 0.2501 0.5001
6 Cu 0.2501 0.7500 0.5001
7 Rb 0.0001 0.0001 0.0000
8 Mn 0.5001 0.5001 0.0001

Values from the calculation:
Space group: No. 121
Size of the total moment in μB per cell: 1.96
Formation energy without anion corrections in meV per atom: -421


No. 5
First-principles (PBE) data for a relaxed structure of Rb2MnCu2Se4, as listed in Alexandria via LeMat-Bulk.

Cell lengths 3.9266, 7.6824, 7.9416 Å; angles 108.24, 90.00, 104.81 degrees
Positions (direct):
1 Rb 0.1336 0.2673 0.5618
2 Rb 0.8664 0.7327 0.4382
3 Se 0.1880 0.3760 0.1686
4 Se 0.4805 0.9610 0.2018
5 Se 0.5195 0.0390 0.7982
6 Se 0.8120 0.6240 0.8314
7 Cu 0.3118 0.6236 0.0168
8 Cu 0.6882 0.3764 0.9832
9 Mn 0.0000 0.0000 0.0000

Values from the calculation:
Space group: No. 12
Size of the total moment in μB per cell: 3.27
Formation energy without anion corrections in meV per atom: -603


No. 6
First-principles (PBE) data for a relaxed structure of RbMnCuSe2, as listed in Alexandria via LeMat-Bulk.

Cell lengths 5.8780, 7.9094, 6.3543 Å; angles 113.78, 90.00, 90.00 degrees
Positions (direct):
1 Rb 0.2326 0.5000 0.7500
2 Rb 0.7674 0.5000 0.2500
3 Mn 0.5004 0.0000 0.7500
4 Mn 0.4996 0.0000 0.2500
5 Cu 0.0000 0.0000 0.0000
6 Cu 0.0000 0.0000 0.5000
7 Se 0.7193 0.7816 0.8906
8 Se 0.2807 0.2184 0.1094
9 Se 0.7193 0.2184 0.6094
10 Se 0.2807 0.7816 0.3906

Values from the calculation:
Space group: No. 13
Size of the total moment in μB per cell: 10.00
Formation energy without anion corrections in meV per atom: -610